No. 1
DFT (PBE) results for a geometry-optimized Pm2SnBr2 structure.

ΔE_f (raw) = -6.74 eV/f.u.
Symmetry = No. 166
Total energy = -4.72 eV per atom

```
Pm2SnBr2
1.0
-1.877 1.705 3.579
0.890 -1.678 3.954
7.926 6.879 3.567
Pm Sn Br
2 1 2
direct
0.611 0.611 0.168
0.389 0.389 0.832
0.000 0.000 0.000
0.225 0.225 0.326
0.775 0.775 0.674
```

=====

No. 2
DFT (PBE) results for a geometry-optimized PmSnBr6 structure.

ΔE_f (raw) = -9.44 eV/f.u.
Symmetry = No. 148
Total energy = -3.53 eV per atom

```
PmSnBr6
1.0
7.108 0.010 0.010
3.547 6.161 0.015
3.543 2.049 6.462
Pm Sn Br
1 1 6
direct
0.500 0.500 0.500
0.000 0.000 0.000
0.082 0.410 0.754
0.754 0.083 0.754
0.590 0.246 0.246
0.246 0.917 0.246
0.918 0.590 0.246
0.410 0.754 0.754
```